AcMnTl2O6 after structural relaxation. Source: the Alexandria database, functional PBE+U.

**Calculated total energy**: -6.102 eV per atom
**V**: 15.520 Å³ per atom
**Crystal system**: triclinic

a b c (Å): 6.2429 5.7040 6.5670
angles (deg): 59.66 55.03 57.73
Last column: magnetic moment on the atom in μB.
Atoms (fractional coordinates):
O 0.3825 0.6796 0.7720  -0.04
O 0.2195 0.9627 0.2543  -0.03
O 0.9527 0.5763 0.2429  -0.03
O 0.1638 0.3846 0.7460  0.04
O 0.6796 0.1180 0.8158  -0.04
O 0.6342 0.2193 0.2515  0.02
Tl 0.9985 0.0322 0.9263  0.01
Tl 0.5321 0.5674 0.3843  0.02
Mn 0.3000 0.3207 0.0262  3.89
Ac 0.7989 0.8009 0.5958  0.01